Ca2NpAgO6: relaxed, PBE.

The space group is C2/m (No. 12) and the conventional cell measures 10.974, 5.811 and 5.660 Å, with angles of 90.00, 120.96 and 90.00 degrees. Symmetry generates all atoms from Ca at (0.249, 0.000, 0.191), Np at (0.000, 0.000, 0.500), Ag at (0.000, 0.500, 0.000), O at (0.090, 0.240, 0.819) and O at (0.182, 0.000, 0.513).

As for the formation energy (no corrections): -2416.6 meV per atom. The value obtained for the total energy is -7.3710 eV/atom. Its crystal system is monoclinic.